Record 1
Compound: ZrAl4Ni
Source: the Alexandria database
Functional: PBE-GGA
Structure: relaxed

Output
**Final energy**: -5.1552 eV/atom
**Calculated formation energy**: -0.272 eV per atom
**Magnetization**: 0.0 μB per formula unit
**Calculated density**: 4.42 Mg/m³
**SG**: P6/mmm

Cell lengths 4.2912, 4.2912, 6.0682 Å; angles 90.00, 90.00, 120.00 degrees
With the nearest neighbours (Å) after each atom.
Sites, in units of the cell vectors:
Al 0.6667 0.3333 0.7272  4 Al 2.48-2.76
Al 0.6667 0.3333 0.2728  4 Al 2.48-2.76
Al 0.3333 0.6667 0.2728  4 Al 2.48-2.76
Al 0.3333 0.6667 0.7272  4 Al 2.48-2.76
Ni 0.0000 0.0000 0.5000  12 Al 2.84, 2 Zr 3.03
Zr 0.0000 0.0000 0.0000  12 Al 2.98, 2 Ni 3.03

Record 2
Compound: ZrAl2Ni4
Source: the Alexandria database
Functional: PBE-GGA
Structure: relaxed

Output
**Energy above the lowest structure with this stoichiometry**: 27.3 kJ per mole of atoms
**Final energy**: -5.8285 eV/atom
**Calculated formation energy**: -0.234 eV per atom
**Magnetization**: 0.0 μB per formula unit
**Calculated density**: 6.00 Mg/m³
**SG**: P6_3mc

Cell lengths 3.8967, 3.8967, 15.9928 Å; angles 90.00, 90.00, 120.00 degrees
With the nearest neighbours (Å) after each atom.
Sites, in units of the cell vectors:
Ni 0.3333 0.6667 0.4740  1 Al 2.40, 3 Ni 2.52
Ni 0.6667 0.3333 0.2824  4 Al 2.33-2.53
Ni 0.0000 0.0000 0.0453  4 Ni 2.45-2.52, 3 Al 2.58, 1 Zr 2.64
Ni 0.3333 0.6667 0.7824  4 Al 2.33-2.53
Ni 0.0000 0.0000 0.5453  4 Ni 2.45-2.52, 3 Al 2.58, 1 Zr 2.64
Ni 0.0000 0.0000 0.1987  6 Al 2.37-2.55, 4 Ni 2.45-2.62
Ni 0.6667 0.3333 0.9740  1 Al 2.40, 3 Ni 2.52
Ni 0.0000 0.0000 0.6987  6 Al 2.37-2.55, 4 Ni 2.45-2.62
Zr 0.0000 0.0000 0.3801  8 Ni 2.64-2.90
Zr 0.0000 0.0000 0.8801  8 Ni 2.64-2.90
Al 0.6667 0.3333 0.7455  6 Ni 2.33-2.37
Al 0.3333 0.6667 0.2455  6 Ni 2.33-2.37
Al 0.6667 0.3333 0.1243  8 Ni 2.40-2.58
Al 0.3333 0.6667 0.6243  8 Ni 2.40-2.58

Record 3
Compound: Zr2AlNi
Source: the Alexandria database
Functional: PBE-GGA
Structure: relaxed

Output
**Final energy**: -7.0407 eV/atom
**Calculated formation energy**: -0.386 eV per atom
**Magnetization**: 0.0 μB per formula unit
**Calculated density**: 6.21 Mg/m³
**SG**: Pmmm

Cell lengths 4.3310, 3.0454, 7.6433 Å; angles 90.00, 90.00, 134.64 degrees
With the nearest neighbours (Å) after each atom.
Sites, in units of the cell vectors:
Ni 0.9166 0.8334 0.5112  8 Zr 2.78-2.79, 4 Ni 3.05-3.08
Zr 0.4167 0.8334 0.7404  4 Ni 2.78-2.79, 4 Al 3.00, 4 Zr 3.05-3.08
Zr 0.4166 0.8332 0.2821  4 Ni 2.78-2.79, 4 Al 3.00, 4 Zr 3.05-3.08
Al 0.9167 0.8333 0.0112  8 Zr 3.00, 4 Al 3.05-3.08

Record 4
Compound: Zr3Al2Ni
Source: the Alexandria database
Functional: PBE-GGA
Structure: relaxed

Output
**Energy above the lowest structure with this stoichiometry**: 30.9 kJ per mole of atoms
**Final energy**: -6.5660 eV/atom
**Calculated formation energy**: -0.081 eV per atom
**Magnetization**: 0.0 μB per formula unit
**Calculated density**: 5.31 Mg/m³
**SG**: P6_3/mmc

Cell lengths 6.2023, 6.2023, 7.2569 Å; angles 90.00, 90.00, 120.00 degrees
With the nearest neighbours (Å) after each atom.
Sites, in units of the cell vectors:
Al 0.3333 0.6667 0.4206  1 Al 2.48
Al 0.6667 0.3333 0.5794  1 Al 2.48
Al 0.3333 0.6667 0.0794  1 Al 2.48
Al 0.6667 0.3333 0.9206  1 Al 2.48
Zr 0.3401 0.1701 0.2500  2 Ni 2.57
Zr 0.8300 0.1700 0.2500  2 Ni 2.57
Zr 0.8299 0.6599 0.2500  2 Ni 2.57
Zr 0.1701 0.3401 0.7500  2 Ni 2.57
Zr 0.6599 0.8299 0.7500  2 Ni 2.57
Zr 0.1700 0.8300 0.7500  2 Ni 2.57
Ni 0.0000 0.0000 0.5000  6 Zr 2.57
Ni 0.0000 0.0000 0.0000  6 Zr 2.57

Record 5
Compound: Zr2AlNi
Source: the Alexandria database
Functional: PBE-GGA
Structure: relaxed

Output
**Final energy**: -6.9300 eV/atom
**Calculated formation energy**: -0.275 eV per atom
**Magnetization**: 0.0 μB per formula unit
**Calculated density**: 6.16 Mg/m³
**SG**: I-4m2

Cell lengths 5.4338, 5.4338, 5.4338 Å; angles 137.56, 137.56, 61.58 degrees
With the nearest neighbours (Å) after each atom.
Sites, in units of the cell vectors:
Zr 0.2500 0.7500 0.5000  4 Ni 2.78, 4 Al 3.05, 4 Zr 3.05
Zr 0.0000 0.0000 0.0000  4 Al 2.78, 4 Ni 3.05, 4 Zr 3.05
Ni 0.7500 0.2500 0.5000  8 Zr 2.78-3.05, 4 Al 3.05
Al 0.5000 0.5000 0.0000  8 Zr 2.78-3.05, 4 Ni 3.05

Record 6
Compound: ZrAl2Ni
Source: the Alexandria database
Functional: PBE-GGA
Structure: relaxed

Output
**Final energy**: -5.9911 eV/atom
**Calculated formation energy**: -0.537 eV per atom
**Magnetization**: 0.0 μB per formula unit
**Calculated density**: 5.20 Mg/m³
**SG**: P6_3/mmc

Cell lengths 4.0550, 4.0549, 9.1458 Å; angles 90.00, 90.00, 120.00 degrees
With the nearest neighbours (Å) after each atom.
Sites, in units of the cell vectors:
Zr 0.3333 0.6667 0.7500  8 Al 2.84-2.96
Zr 0.6667 0.3333 0.2500  8 Al 2.84-2.96
Ni 0.0000 0.0000 0.0000  6 Al 2.44
Ni 0.0000 0.0000 0.5000  6 Al 2.44
Al 0.3333 0.6667 0.0739  3 Ni 2.44, 3 Al 2.70
Al 0.6667 0.3333 0.9261  3 Ni 2.44, 3 Al 2.70
Al 0.6667 0.3333 0.5739  3 Ni 2.44, 3 Al 2.70
Al 0.3333 0.6667 0.4261  3 Ni 2.44, 3 Al 2.70

Record 7
Compound: ZrAl2Ni
Source: the Alexandria database
Functional: PBE-GGA
Structure: relaxed

Output
**Final energy**: -5.4232 eV/atom
**Calculated formation energy**: 0.030 eV per atom
**Magnetization**: 0.1 μB per formula unit
**Calculated density**: 5.02 Mg/m³
**SG**: P6_3/mmc

Cell lengths 4.6183, 4.6183, 7.2953 Å; angles 90.00, 90.00, 120.00 degrees
With the nearest neighbours (Å) after each atom.
Sites, in units of the cell vectors:
Zr 0.0000 0.0000 0.0000  6 Al 2.73
Zr 0.0000 0.0000 0.5000  6 Al 2.73
Ni 0.6667 0.3333 0.2500  2 Al 2.43
Ni 0.3333 0.6667 0.7500  2 Al 2.43
Al 0.3333 0.6667 0.4172  1 Ni 2.43, 1 Al 2.44
Al 0.3333 0.6667 0.0828  1 Ni 2.43, 1 Al 2.44
Al 0.6667 0.3333 0.9172  1 Ni 2.43, 1 Al 2.44
Al 0.6667 0.3333 0.5828  1 Ni 2.43, 1 Al 2.44

Record 8
Compound: ZrAl2Ni3
Source: the Alexandria database
Functional: PBE-GGA
Structure: relaxed

Output
**Energy above the lowest structure with this stoichiometry**: 0.0 kJ per mole of atoms
**Final energy**: -6.0674 eV/atom
**Calculated formation energy**: -0.505 eV per atom
**Magnetization**: 0.0 μB per formula unit
**Calculated density**: 6.29 Mg/m³
**SG**: P6/mmm

Cell lengths 5.0738, 5.0738, 3.8021 Å; angles 90.00, 90.00, 120.00 degrees
With the nearest neighbours (Å) after each atom.
Sites, in units of the cell vectors:
Ni 0.0000 0.5000 0.5000  4 Al 2.40, 4 Ni 2.54
Ni 0.5000 0.5000 0.5000  4 Al 2.40, 4 Ni 2.54
Ni 0.5000 0.0000 0.5000  4 Al 2.40, 4 Ni 2.54
Zr 0.0000 0.0000 0.0000  6 Al 2.93, 12 Ni 3.17
Al 0.3333 0.6667 0.0000  6 Ni 2.40
Al 0.6667 0.3333 0.0000  6 Ni 2.40

Record 9
Compound: ZrAl2Ni6
Source: the Alexandria database
Functional: PBE-GGA
Structure: relaxed

Output
**Energy above the lowest structure with this stoichiometry**: 0.0 kJ per mole of atoms
**Final energy**: -5.9070 eV/atom
**Calculated formation energy**: -0.271 eV per atom
**Magnetization**: 0.0 μB per formula unit
**Calculated density**: 7.08 Mg/m³
**SG**: Immm

Cell lengths 2.6962, 7.2848, 7.2848 Å; angles 56.54, 79.34, 79.34 degrees
With the nearest neighbours (Å) after each atom.
Sites, in units of the cell vectors:
Ni 0.3233 0.9946 0.3589  6 Ni 2.45-2.70, 3 Al 2.54-2.60
Ni 0.5000 0.3319 0.6681  3 Ni 2.32-2.45, 4 Al 2.57
Ni 0.3233 0.3589 0.9946  6 Ni 2.45-2.70, 3 Al 2.54-2.60
Ni 0.6767 0.0054 0.6411  6 Ni 2.45-2.70, 3 Al 2.54-2.60
Ni 0.6767 0.6411 0.0054  6 Ni 2.45-2.70, 3 Al 2.54-2.60
Ni 0.5000 0.6681 0.3319  3 Ni 2.32-2.45, 4 Al 2.57
Al 0.8526 0.6474 0.6474  10 Ni 2.54-2.60, 2 Al 2.70
Al 0.1474 0.3526 0.3526  10 Ni 2.54-2.60, 2 Al 2.70
Zr 0.0000 0.0000 0.0000  12 Ni 2.66-2.88, 2 Zr 2.70

Record 10
Compound: Zr5Al2Ni
Source: the Alexandria database
Functional: PBE-GGA
Structure: relaxed

Output
**Energy above the lowest structure with this stoichiometry**: 6.3 kJ per mole of atoms
**Final energy**: -7.2064 eV/atom
**Calculated formation energy**: -0.205 eV per atom
**Magnetization**: 0.0 μB per formula unit
**Calculated density**: 6.02 Mg/m³
**SG**: I4/mmm

Cell lengths 9.0492, 9.0492, 9.0492 Å; angles 152.57, 152.57, 39.18 degrees
With the nearest neighbours (Å) after each atom.
Sites, in units of the cell vectors:
Zr 0.3716 0.8716 0.5000  4 Al 2.98, 6 Zr 3.03-3.07, 2 Ni 3.07
Zr 0.8716 0.3716 0.5000  4 Al 2.98, 6 Zr 3.03-3.07, 2 Ni 3.07
Zr 0.6284 0.1284 0.5000  4 Al 2.98, 6 Zr 3.03-3.07, 2 Ni 3.07
Zr 0.1284 0.6284 0.5000  4 Al 2.98, 6 Zr 3.03-3.07, 2 Ni 3.07
Zr 0.5000 0.5000 0.0000  4 Ni 3.03, 8 Zr 3.07
Ni 0.0000 0.0000 0.0000  12 Zr 3.03-3.07
Al 0.7501 0.7501 0.0000  8 Zr 2.98, 4 Al 3.03
Al 0.2499 0.2499 0.0000  8 Zr 2.98, 4 Al 3.03

Record 11
Compound: ZrAl2Ni3
Source: the Alexandria database
Functional: PBE-GGA
Structure: relaxed

Output
**Energy above the lowest structure with this stoichiometry**: 12.0 kJ per mole of atoms
**Final energy**: -5.9427 eV/atom
**Calculated formation energy**: -0.380 eV per atom
**Magnetization**: 0.0 μB per formula unit
**Calculated density**: 6.35 Mg/m³
**SG**: P-3m1

Cell lengths 5.4499, 5.4499, 6.5306 Å; angles 90.00, 90.00, 120.00 degrees
With the nearest neighbours (Å) after each atom.
Sites, in units of the cell vectors:
Ni 0.6871 0.8436 0.6865  3 Al 2.52-2.61, 2 Ni 2.56, 3 Zr 2.64-2.76
Ni 0.8436 0.6871 0.3135  3 Al 2.52-2.61, 2 Ni 2.56, 3 Zr 2.64-2.76
Ni 0.1564 0.3129 0.6865  3 Al 2.52-2.61, 2 Ni 2.56, 3 Zr 2.64-2.76
Ni 0.3129 0.1564 0.3135  3 Al 2.52-2.61, 2 Ni 2.56, 3 Zr 2.64-2.76
Ni 0.1565 0.8435 0.6865  3 Al 2.52-2.61, 2 Ni 2.56, 3 Zr 2.64-2.76
Ni 0.8435 0.1565 0.3135  3 Al 2.52-2.61, 2 Ni 2.56, 3 Zr 2.64-2.76
Al 0.0000 0.0000 0.0000  6 Ni 2.52, 6 Al 2.72
Al 0.5000 0.5000 0.0000  4 Ni 2.61, 6 Al 2.72, 2 Zr 2.91
Al 0.5000 0.0000 0.0000  4 Ni 2.61, 6 Al 2.72, 2 Zr 2.91
Al 0.0000 0.5000 0.0000  4 Ni 2.61, 6 Al 2.72, 2 Zr 2.91
Zr 0.3333 0.6667 0.3740  9 Ni 2.64-2.76, 3 Al 2.91
Zr 0.6667 0.3333 0.6260  9 Ni 2.64-2.76, 3 Al 2.91

calculated formation energy of number 6 (ZrAl2Ni)? -0.537 eV per atom